[1]
A relaxed structure of La2Zn2NiPt5, computed with PBE-GGA.

Energy of formation from the pure elements in kJ per mole of atoms: -64.3
Final energy in eV/atom: -5.505
Crystal system: tetragonal
Symmetry: P4/mbm (127)
ρ in g/cm3: 13.166
Volume in Å³ per cell: 363.93

a = 9.727 Å, b = 9.727 Å, c = 3.846 Å
α = 90.00°, β = 90.00°, γ = 90.00°
Atoms (fractional coordinates):
La1 0.180 0.320 0.000
La2 0.320 0.820 0.000
La3 0.680 0.180 0.000
La4 0.820 0.680 0.000
Zn1 0.120 0.620 0.000
Zn2 0.380 0.120 0.000
Zn3 0.620 0.880 0.000
Zn4 0.880 0.380 0.000
Ni1 0.000 0.000 0.000
Ni2 0.500 0.500 0.000
Pt1 0.000 0.500 0.500
Pt2 0.058 0.799 0.500
Pt3 0.201 0.058 0.500
Pt4 0.299 0.558 0.500
Pt5 0.442 0.299 0.500
Pt6 0.500 0.000 0.500
Pt7 0.558 0.701 0.500
Pt8 0.701 0.442 0.500
Pt9 0.799 0.942 0.500
Pt10 0.942 0.201 0.500

=====

[2]
A relaxed structure of TcTe4Ir, computed with PBE-GGA.

Final energy in eV/atom: -5.491
Crystal system: triclinic
Symmetry: P1 (1)
Uncorrected formation energy in eV per atom: -0.19
ρ in g/cm3: 8.390
Excess energy over the best structure of this formula in the dataset in meV/atom: 0
Volume in Å³ per cell: 158.45

a = 3.886 Å, b = 6.212 Å, c = 6.960 Å
α = 79.54°, β = 73.80°, γ = 89.97°
Atoms (fractional coordinates):
Tc1 0.000 0.000 0.000
Te1 0.142 0.342 0.714
Te2 0.365 0.033 0.270
Te3 0.602 0.823 0.796
Te4 0.903 0.559 0.191
Ir1 0.505 0.393 0.988

=====

[3]
A relaxed structure of BiPb3I, computed with PBE-GGA.

Final energy in eV/atom: -3.369
Crystal system: monoclinic
Symmetry: P2_1/c (14)
Uncorrected formation energy in eV per atom: -0.06
ρ in g/cm3: 8.743
Excess energy over the best structure of this formula in the dataset in meV/atom: 0
Volume in Å³ per cell: 727.40

a = 9.902 Å, b = 7.038 Å, c = 11.388 Å
α = 90.00°, β = 113.57°, γ = 90.00°
Atoms (fractional coordinates):
Bi1 0.156 0.237 0.442
Bi2 0.156 0.263 0.942
Bi3 0.844 0.737 0.058
Bi4 0.844 0.763 0.558
Pb1 0.000 0.147 0.132
Pb2 0.000 0.353 0.632
Pb3 0.000 0.647 0.368
Pb4 0.000 0.853 0.868
Pb5 0.186 0.595 0.152
Pb6 0.186 0.905 0.652
Pb7 0.367 0.657 0.506
Pb8 0.367 0.843 0.006
Pb9 0.633 0.157 0.994
Pb10 0.633 0.343 0.494
Pb11 0.814 0.095 0.348
Pb12 0.814 0.405 0.848
I1 0.419 0.521 0.804
I2 0.419 0.979 0.304
I3 0.581 0.021 0.696
I4 0.581 0.479 0.196

=====

[4]
A relaxed structure of Ca2AlH8S2ClO12F2, computed with PBE-GGA.

Final energy in eV/atom: -5.688
Crystal system: tetragonal
Symmetry: I4/m (87)
ρ in g/cm3: 2.298
Volume in Å³ per cell: 321.33

a = 8.272 Å, b = 8.272 Å, c = 8.272 Å
α = 130.33°, β = 130.33°, γ = 72.88°
Atoms (fractional coordinates):
Ca1 0.200 0.200 0.000
Ca2 0.800 0.800 0.000
Al1 0.500 0.500 0.000
H1 0.102 0.547 0.771
H2 0.225 0.669 0.771
H3 0.331 0.102 0.556
H4 0.453 0.225 0.556
H5 0.547 0.775 0.444
H6 0.669 0.898 0.444
H7 0.775 0.331 0.229
H8 0.898 0.453 0.229
S1 0.250 0.750 0.500
S2 0.750 0.250 0.500
Cl1 0.000 0.000 0.000
O1 0.122 0.522 0.274
O2 0.152 0.878 0.400
O3 0.227 0.557 0.784
O4 0.247 0.848 0.726
O5 0.443 0.227 0.670
O6 0.478 0.753 0.600
O7 0.522 0.247 0.400
O8 0.557 0.773 0.330
O9 0.753 0.152 0.274
O10 0.773 0.443 0.216
O11 0.848 0.122 0.600
O12 0.878 0.478 0.726
F1 0.367 0.367 0.000
F2 0.633 0.633 0.000

=====

[5]
A relaxed structure of NdScPt4, computed with PBE-GGA.

Energy of formation from the pure elements in kJ per mole of atoms: -96.8
Final energy in eV/atom: -6.880
Crystal system: cubic
Symmetry: F-43m (216)
ρ in g/cm3: 14.267
Volume in Å³ per cell: 112.84

a = 5.424 Å, b = 5.424 Å, c = 5.424 Å
α = 60.00°, β = 60.00°, γ = 60.00°
Atoms (fractional coordinates):
Nd1 0.000 0.000 0.000
Sc1 0.750 0.750 0.750
Pt1 0.376 0.376 0.376
Pt2 0.376 0.376 0.873
Pt3 0.376 0.873 0.376
Pt4 0.873 0.376 0.376

=====

[6]
A relaxed structure of SrLaRh4, computed with PBE-GGA.

Energy of formation from the pure elements in kJ per mole of atoms: -47.3
Final energy in eV/atom: -6.493
Crystal system: cubic
Symmetry: F-43m (216)
ρ in g/cm3: 9.170
Volume in Å³ per cell: 115.56

a = 5.467 Å, b = 5.467 Å, c = 5.467 Å
α = 60.00°, β = 60.00°, γ = 60.00°
Atoms (fractional coordinates):
Sr1 0.000 0.000 0.000
La1 0.250 0.250 0.250
Rh1 0.125 0.625 0.625
Rh2 0.625 0.125 0.625
Rh3 0.625 0.625 0.125
Rh4 0.625 0.625 0.625

=====

[7]
A relaxed structure of YHfTc, computed with PBE-GGA.

Energy of formation from the pure elements in kJ per mole of atoms: -13.1
Final energy in eV/atom: -9.064
Crystal system: monoclinic
Symmetry: C2/m (12)
ρ in g/cm3: 8.982
Excess energy over the best structure of this formula in the dataset in meV/atom: 23
Volume in Å³ per cell: 135.10

a = 6.363 Å, b = 6.363 Å, c = 6.829 Å
α = 105.86°, β = 105.86°, γ = 30.63°
Atoms (fractional coordinates):
Y1 0.140 0.140 0.078
Y2 0.860 0.860 0.922
Hf1 0.127 0.127 0.559
Hf2 0.873 0.873 0.441
Tc1 0.495 0.495 0.266
Tc2 0.505 0.505 0.734

=====

[8]
A relaxed structure of Hf2Ge2S7, computed with PBE-GGA.

Final energy in eV/atom: -6.115
Crystal system: monoclinic
Symmetry: C2/m (12)
Uncorrected formation energy in eV per atom: -0.84
ρ in g/cm3: 3.255
Volume in Å³ per cell: 370.78

a = 6.470 Å, b = 6.470 Å, c = 10.397 Å
α = 99.96°, β = 99.96°, γ = 115.72°
Atoms (fractional coordinates):
Hf1 0.171 0.829 0.000
Hf2 0.829 0.171 0.000
Ge1 0.085 0.085 0.732
Ge2 0.915 0.915 0.268
S1 0.000 0.000 0.500
S2 0.058 0.413 0.858
S3 0.178 0.178 0.165
S4 0.413 0.058 0.858
S5 0.587 0.942 0.142
S6 0.822 0.822 0.835
S7 0.942 0.587 0.142